A relaxed LiMn2V4O8 crystal. Source: Alexandria, functional GGA+U.

abc: 6.3906 6.3906 6.3906
angles: 56.25 56.25 56.25
Last column: nearest neighbours and their distance in Å.
Sites, in units of the cell vectors:
O1 0.2477 0.2477 0.7280  3 V 2.08-2.23, 1 Mn 2.13, 1 Li 2.17
O2 0.7280 0.2477 0.2477  3 V 2.08-2.23, 1 Mn 2.13, 1 Li 2.17
O3 0.7319 0.7319 0.7319  1 Mn 1.99, 3 V 2.03
O4 0.2681 0.2681 0.2681  1 Mn 1.99, 3 V 2.03
O5 0.7523 0.7523 0.2720  3 V 2.08-2.23, 1 Mn 2.13, 1 Li 2.17
O6 0.7523 0.2720 0.7523  3 V 2.08-2.23, 1 Mn 2.13, 1 Li 2.17
O7 0.2477 0.7280 0.2477  3 V 2.08-2.23, 1 Mn 2.13, 1 Li 2.17
O8 0.2720 0.7523 0.7523  3 V 2.08-2.23, 1 Mn 2.13, 1 Li 2.17
V1 0.5000 0.5000 0.5000  6 O 2.23
V2 0.5000 0.5000 0.0000  6 O 2.03-2.08
V3 0.5000 0.0000 0.5000  6 O 2.03-2.08
V4 0.0000 0.5000 0.5000  6 O 2.03-2.08
Li1 0.0000 0.0000 0.0000  6 O 2.17, 2 Mn 2.33
Mn1 0.8554 0.8554 0.8554  4 O 1.99-2.13
Mn2 0.1446 0.1446 0.1446  4 O 1.99-2.13

## Properties
Raw total energy: -7.618 eV/atom
Offset from the most stable computed form: 0.00 eV per formula unit
Total moment: 1.267 μB/atom
SG: R-3m (166)